The following is a PBE-GGA calculation of a relaxed structure of Ba3Mg2Pb4, from Alexandria.

```
data_Ba3Mg2Pb4
_symmetry_space_group_name_H-M 'C 1 2/m 1'
_symmetry_Int_Tables_number 12
_symmetry_space_group_name_Hall '-C 2y'
_cell_length_a 13.1045
_cell_length_b 5.0978
_cell_length_c 9.8747
_cell_angle_alpha 90.00
_cell_angle_beta 103.10
_cell_angle_gamma 90.00
loop_
_atom_site_label
_atom_site_type_symbol
_atom_site_fract_x
_atom_site_fract_y
_atom_site_fract_z
Ba1 Ba 0.0000 0.0000 0.0000
Ba2 Ba 0.1124 0.5000 0.7026
Mg1 Mg 0.2039 0.5000 0.3800
Pb1 Pb 0.0840 0.0000 0.3970
Pb2 Pb 0.2073 0.5000 0.0725
```

Energy relative to the elements = -4.18 eV/f.u.



The following is a PBE-GGA calculation of a relaxed structure of Sm3Ni5Te12, from Alexandria.

```
data_Sm3Ni5Te12
_symmetry_space_group_name_H-M 'I a -3 d'
_symmetry_Int_Tables_number 230
_symmetry_space_group_name_Hall '-I 4bd 2c 3'
_cell_length_a 16.4447
_cell_length_b 16.4447
_cell_length_c 16.4447
_cell_angle_alpha 90.00
_cell_angle_beta 90.00
_cell_angle_gamma 90.00
loop_
_atom_site_label
_atom_site_type_symbol
_atom_site_fract_x
_atom_site_fract_y
_atom_site_fract_z
Sm1 Sm 0.0000 0.2500 0.1250
Ni1 Ni 0.0000 0.0000 0.0000
Ni2 Ni 0.0000 0.2500 0.3750
Te1 Te 0.0307 0.0557 0.6459
```

Energy relative to the elements, uncorrected = -0.51 eV/atom



The following is a PBE-GGA calculation of a relaxed structure of La5Nd2, from Alexandria.

```
data_La5Nd2
_symmetry_space_group_name_H-M 'R -3 m'
_symmetry_Int_Tables_number 166
_symmetry_space_group_name_Hall '-R 3 2"'
_cell_length_a 5.9053
_cell_length_b 5.9053
_cell_length_c 25.3608
_cell_angle_alpha 90.00
_cell_angle_beta 90.00
_cell_angle_gamma 120.00
loop_
_atom_site_label
_atom_site_type_symbol
_atom_site_fract_x
_atom_site_fract_y
_atom_site_fract_z
La1 La 0.0000 0.0000 0.0000
La2 La 0.0000 0.0000 0.2671
La3 La 0.0000 0.0000 0.4170
Nd1 Nd 0.0000 0.0000 0.1368
```

Polymorph energy (0 for the lowest one) = 6 meV per atom
Energy relative to the elements = 0.67 eV/f.u.



The following is a PBE-GGA calculation of a relaxed structure of Tb6Pm4Zr, from Alexandria.

```
data_Tb6Pm4Zr
_symmetry_space_group_name_H-M 'P 4/m n c'
_symmetry_Int_Tables_number 128
_symmetry_space_group_name_Hall '-P 4 2n'
_cell_length_a 8.7122
_cell_length_b 8.7122
_cell_length_c 9.2272
_cell_angle_alpha 90.00
_cell_angle_beta 90.00
_cell_angle_gamma 90.00
loop_
_atom_site_label
_atom_site_type_symbol
_atom_site_fract_x
_atom_site_fract_y
_atom_site_fract_z
Tb1 Tb 0.0000 0.0000 0.1759
Tb2 Tb 0.1519 0.3415 0.5000
Pm1 Pm 0.1445 0.6445 0.2500
Zr1 Zr 0.0000 0.0000 0.5000
```

Energy relative to the elements = 1.52 eV/f.u.



The following is a PBE-GGA calculation of a relaxed structure of NdDy3Ga3, from Alexandria.

```
data_NdDy3Ga3
_symmetry_space_group_name_H-M 'P 63/m'
_symmetry_Int_Tables_number 176
_symmetry_space_group_name_Hall '-P 6c'
_cell_length_a 9.2656
_cell_length_b 9.2656
_cell_length_c 4.7909
_cell_angle_alpha 90.00
_cell_angle_beta 90.00
_cell_angle_gamma 120.00
loop_
_atom_site_label
_atom_site_type_symbol
_atom_site_fract_x
_atom_site_fract_y
_atom_site_fract_z
Nd1 Nd 0.3333 0.6667 0.2500
Dy1 Dy 0.0189 0.7618 0.7500
Ga1 Ga 0.0570 0.4489 0.7500
```

Energy relative to the elements = -3.07 eV/f.u.



The following is a PBE-GGA calculation of a relaxed structure of GePd2C, from Alexandria.

```
data_GePd2C
_symmetry_space_group_name_H-M 'I -4 2 d'
_symmetry_Int_Tables_number 122
_symmetry_space_group_name_Hall 'I -4 2bw'
_cell_length_a 4.9481
_cell_length_b 4.9481
_cell_length_c 11.0821
_cell_angle_alpha 90.00
_cell_angle_beta 90.00
_cell_angle_gamma 90.00
loop_
_atom_site_label
_atom_site_type_symbol
_atom_site_fract_x
_atom_site_fract_y
_atom_site_fract_z
Ge1 Ge 0.0000 0.0000 0.0000
Pd1 Pd 0.1599 0.2500 0.6250
C1 C 0.0000 0.0000 0.5000
```

Polymorph energy (0 for the lowest one) = 0 meV per atom
Energy relative to the elements = 2.05 eV/f.u.



The following is a PBE-GGA calculation of a relaxed structure of K3MgIn2O6, from Alexandria.

```
data_K3MgIn2O6
_symmetry_space_group_name_H-M 'C 1 2/m 1'
_symmetry_Int_Tables_number 12
_symmetry_space_group_name_Hall '-C 2y'
_cell_length_a 5.7384
_cell_length_b 9.9417
_cell_length_c 6.4349
_cell_angle_alpha 90.00
_cell_angle_beta 107.30
_cell_angle_gamma 90.00
loop_
_atom_site_label
_atom_site_type_symbol
_atom_site_fract_x
_atom_site_fract_y
_atom_site_fract_z
K1 K 0.0000 0.0000 0.0000
K2 K 0.0000 0.3350 0.0000
Mg1 Mg 0.0000 0.5000 0.5000
In1 In 0.0000 0.1667 0.5000
O1 O 0.2262 0.3352 0.6848
O2 O 0.2322 0.0000 0.6839
```

Energy relative to the elements, uncorrected = -1.58 eV/atom



The following is a PBE-GGA calculation of a relaxed structure of Pr2ZrCd6, from Alexandria.

```
data_Pr2ZrCd6
_symmetry_space_group_name_H-M 'P 6/m m m'
_symmetry_Int_Tables_number 191
_symmetry_space_group_name_Hall '-P 6 2'
_cell_length_a 8.7561
_cell_length_b 8.7561
_cell_length_c 3.3121
_cell_angle_alpha 90.00
_cell_angle_beta 90.00
_cell_angle_gamma 120.00
loop_
_atom_site_label
_atom_site_type_symbol
_atom_site_fract_x
_atom_site_fract_y
_atom_site_fract_z
Pr1 Pr 0.3333 0.6667 0.0000
Zr1 Zr 0.0000 0.0000 0.0000
Cd1 Cd 0.0000 0.3245 0.5000
```

Energy relative to the elements = -2.08 eV/f.u.



Calculated uncorrected energy in order - -3.11, -4.55, -4.79, -4.89, -4.39, -5.54, -4.92, -2.85 eV/atom